No. 1
VASP calculation (PBE) on crystalline LaZn2Hg at its relaxed geometry.

Results
Formation enthalpy at 0 K, eV per atom: -0.2112
Calculated volume, Å³/f.u.: 97.9
Space group: No. 47
Density, g cm⁻³: 7.98
Energy, eV for the cell shown: -8.6
Crystal system: orthorhombic

a b c (Å): 3.747 4.715 5.539
angles (deg): 90.00 90.00 90.00
Fractional positions:
La: 0.000 0.000 0.000
Zn: 0.500 0.500 0.245
Zn: 0.500 0.500 0.755
Hg: 0.500 0.000 0.500

=====

No. 2
VASP calculation (PBE) on crystalline La6Zn2Hg at its relaxed geometry.

Results
Offset from the most stable computed form, eV per atom: 0.027
Formation enthalpy at 0 K, eV per atom: -0.2088
Calculated volume, Å³/f.u.: 280.7
Space group: No. 71
Density, g cm⁻³: 6.89
Energy, eV for the cell shown: -68.6
Crystal system: orthorhombic

a b c (Å): 9.005 9.005 9.005
angles (deg): 111.51 109.61 107.32
Fractional positions:
La: 0.040 0.821 0.219
La: 0.249 0.546 0.297
La: 0.249 0.951 0.703
La: 0.269 0.316 0.586
La: 0.269 0.684 0.953
La: 0.399 0.179 0.219
La: 0.601 0.821 0.781
La: 0.731 0.316 0.047
La: 0.731 0.684 0.414
La: 0.751 0.049 0.297
La: 0.751 0.454 0.703
La: 0.960 0.179 0.781
Zn: 0.000 0.132 0.132
Zn: 0.000 0.868 0.868
Zn: 0.379 0.379 0.000
Zn: 0.621 0.621 0.000
Hg: 0.000 0.500 0.500
Hg: 0.500 0.000 0.500